Entry 1:
Crystalline TlBiSF2 at its relaxed geometry. Source: Alexandria via LeMat-Bulk, functional GGA-PBE.

abc: 4.6612 4.6612 5.4805
angles: 90.00 90.00 90.00
Closest atoms and distances in Å follow each position.
Positions (direct):
Bi 0.0000 0.0000 0.0000  4 F 2.33
F 0.5000 0.0000 0.0000  2 Bi 2.33
F 0.0000 0.5000 0.0000  2 Bi 2.33
Tl 0.5000 0.5000 0.5000  4 S 3.30, 8 F 3.60
S 0.0000 0.0000 0.5000  2 Bi 2.74

Properties
E_tot	-21.288	eV for the cell shown
energy relative to the elements, uncorrected	-138.4	kJ per mole of atoms
total moment	0.00	μB/f.u.

=====

Entry 2:
Crystalline K3HfZn at its relaxed geometry. Source: Alexandria via LeMat-Bulk, functional GGA-PBE.

abc: 6.2975 6.2975 6.2975
angles: 90.00 90.00 90.00
Closest atoms and distances in Å follow each position.
Positions (direct):
K 0.5000 0.0000 0.0000  2 Zn 3.15
K 0.0000 0.0000 0.5000  2 Zn 3.15
K 0.0000 0.5000 0.0000  2 Zn 3.15
Zn 0.0000 0.0000 0.0000  6 K 3.15
Hf 0.5000 0.5000 0.5000  12 K 4.45

Properties
relative energy among the computed polymorphs	0.000	eV per formula unit
energy of formation from the pure elements	1144	meV/atom
E_tot	-8.802	eV for the cell shown
total moment	3.03	μB/f.u.

=====

Entry 3:
Crystalline La3TbGa2 at its relaxed geometry. Source: Alexandria via LeMat-Bulk, functional GGA-PBE.

abc: 4.5921 10.4399 9.5221
angles: 125.80 90.00 102.71
Closest atoms and distances in Å follow each position.
Positions (direct):
Tb 0.8863 0.7727 0.9048  2 Ga 3.00
Tb 0.1137 0.2273 0.0952  2 Ga 3.00
Ga 0.2368 0.4736 0.7512  5 La 3.05-3.28, 2 Tb 3.37
Ga 0.4940 0.9879 0.1290  1 Ga 2.61
Ga 0.5060 0.0121 0.8710  1 Ga 2.61
Ga 0.7632 0.5264 0.2488  5 La 3.05-3.28, 2 Tb 3.37
La 0.3197 0.6395 0.5708  2 Ga 3.05-3.09, 2 La 3.25
La 0.3470 0.6939 0.1712  4 Ga 3.20-3.25
La 0.6803 0.3605 0.4292  2 Ga 3.05-3.09, 2 La 3.25
La 0.6530 0.3061 0.8288  4 Ga 3.20-3.25
La 0.9558 0.9117 0.5954  3 Ga 3.16-3.28, 3 La 3.23-3.50
La 0.0442 0.0883 0.4046  3 Ga 3.16-3.28, 3 La 3.23-3.50

Properties
relative energy among the computed polymorphs	0.345	eV per formula unit
energy of formation from the pure elements	-355	meV/atom
E_tot	-55.191	eV for the cell shown
total moment	0.00	μB/f.u.

=====

Entry 4:
Crystalline Sr2Fe2P2N at its relaxed geometry. Source: Alexandria via LeMat-Bulk, functional GGA-PBE.

abc: 3.7953 5.7441 6.3521
angles: 70.55 72.62 70.71
Closest atoms and distances in Å follow each position.
Positions (direct):
N 0.0000 0.0000 0.0000  2 Fe 1.78
Fe 0.1831 0.6976 0.9361  1 N 1.78
Fe 0.8169 0.3024 0.0639  1 N 1.78
P 0.1959 0.3652 0.2431  3 Fe 2.23-2.26
P 0.8041 0.6348 0.7569  3 Fe 2.23-2.26
Sr 0.4416 0.8044 0.3125  2 N 2.70, 1 P 2.96
Sr 0.5584 0.1956 0.6875  2 N 2.70, 1 P 2.96

Properties
E_tot	-45.139	eV for the cell shown
energy relative to the elements, uncorrected	-78.6	kJ per mole of atoms
total moment	0.00	μB/f.u.

=====

Entry 5:
Crystalline Na2La2Hg at its relaxed geometry. Source: Alexandria via LeMat-Bulk, functional GGA-PBE.

abc: 7.4088 7.4088 5.7215
angles: 90.00 90.00 90.00
Closest atoms and distances in Å follow each position.
Positions (direct):
Na 0.3635 0.8635 0.0000  1 Na 2.86, 2 Hg 2.88
Na 0.6365 0.1365 0.0000  1 Na 2.86, 2 Hg 2.88
Na 0.8635 0.6365 0.0000  1 Na 2.86, 2 Hg 2.88
Na 0.1365 0.3635 0.0000  1 Na 2.86, 2 Hg 2.88
Hg 0.5000 0.5000 0.0000  4 Na 2.88
Hg 0.0000 0.0000 0.0000  4 Na 2.88
La 0.3230 0.1770 0.5000  6 Na 3.46-3.70, 5 La 3.71-3.86
La 0.1770 0.6770 0.5000  6 Na 3.46-3.70, 5 La 3.71-3.86
La 0.8230 0.3230 0.5000  6 Na 3.46-3.70, 5 La 3.71-3.86
La 0.6770 0.8230 0.5000  6 Na 3.46-3.70, 5 La 3.71-3.86

Properties
relative energy among the computed polymorphs	0.330	eV per formula unit
energy of formation from the pure elements	107	meV/atom
E_tot	-24.515	eV for the cell shown
total moment	0.00	μB/f.u.

=====

Entry 6:
Crystalline GdHfFeCu at its relaxed geometry. Source: Alexandria via LeMat-Bulk, functional GGA-PBE.

abc: 4.6782 4.6782 4.6782
angles: 60.00 60.00 60.00
Closest atoms and distances in Å follow each position.
Positions (direct):
Fe 0.0000 0.0000 0.0000  4 Gd 2.86, 4 Hf 2.86
Cu 0.5000 0.5000 0.5000  4 Gd 2.86, 4 Hf 2.86
Hf 0.2500 0.2500 0.2500  4 Fe 2.86, 4 Cu 2.86
Gd 0.7500 0.7500 0.7500  4 Fe 2.86, 4 Cu 2.86

Properties
energy of formation from the pure elements	-18	meV/atom
E_tot	-36.666	eV for the cell shown
total moment	6.45	μB/f.u.